Material: Tb2Sm9Tl
Method: DFT, PBE
State: relaxed

Unit cell a=5.0193 b=5.0193 c=15.4077 alpha=90.00 beta=90.00 gamma=90.00
Closest atoms and distances in Å follow each position.
Space group P4/mmm (No. 123)
Asymmetric unit:
1 Tb 0.0000 0.0000 0.1683 (multiplicity 2)  12 Sm 3.55-3.62
2 Sm 0.0000 0.5000 0.0000 (multiplicity 2)  8 Sm 3.55-3.63, 4 Tb 3.61
3 Sm 0.0000 0.5000 0.3378 (multiplicity 4)  2 Tl 3.54, 8 Sm 3.54-3.60, 2 Tb 3.62
4 Sm 0.5000 0.5000 0.1704 (multiplicity 2)  4 Tb 3.55, 8 Sm 3.60-3.63
5 Sm 0.5000 0.5000 0.5000 (multiplicity 1)  8 Sm 3.54, 4 Tl 3.55
6 Tl 0.0000 0.0000 0.5000 (multiplicity 1)  12 Sm 3.54-3.55

Summary:
As for the theoretical density: 8.0 Mg/m³. The volume is 388.2 Å³ per cell. The formation energy is -43 meV/atom.